[1]
First-principles (PBE-GGA) data for a relaxed structure of TaAgGe2, as listed in the Alexandria database.

The structure belongs to space group Fm-3m (No. 225); the cell edges are 6.541, 6.541 and 6.541 Å and the angles 90.00°, 90.00° and 90.00°. Symmetry generates all atoms from Ta at (0.000, 0.000, 0.000), Ag at (0.000, 0.000, 0.500) and Ge at (0.250, 0.250, 0.250).

For the total DFT energy (no corrections), the calculation gives -0.207 hartree per atom. The value obtained for the energy above the most stable polymorph in this dataset is 0 meV per atom. The value obtained for the density of states at the Fermi level is 7.75 states/eV per cell. The value obtained for the formation energy is 0.357 eV per atom.

[2]
First-principles (PBE-GGA) data for a relaxed structure of Ta2AgGe2, as listed in the Alexandria database.

The structure belongs to space group P4/mbm (No. 127); the cell edges are 7.117, 7.117 and 3.444 Å and the angles 90.00°, 90.00° and 90.00°. Symmetry generates all atoms from Ta at (0.147, 0.353, 0.000), Ag at (0.000, 0.000, 0.500) and Ge at (0.146, 0.646, 0.500).

For the total DFT energy (no corrections), the calculation gives -0.260 hartree per atom. The value obtained for the energy above the most stable polymorph in this dataset is 0 meV per atom. The value obtained for the density of states at the Fermi level is 7.34 states/eV per cell. The value obtained for the formation energy is 0.075 eV per atom.

[3]
First-principles (PBE-GGA) data for a relaxed structure of Ta2Ag2Ge, as listed in the Alexandria database.

The structure belongs to space group I4/mmm (No. 139); the cell edges are 3.730, 3.730 and 14.520 Å and the angles 90.00°, 90.00° and 90.00°. Symmetry generates all atoms from Ta at (0.000, 0.500, 0.250), Ag at (0.000, 0.000, 0.095) and Ge at (0.000, 0.000, 0.500).

For the total DFT energy (no corrections), the calculation gives -0.225 hartree per atom. The value obtained for the energy above the most stable polymorph in this dataset is 220 meV per atom. The value obtained for the density of states at the Fermi level is 7.29 states/eV per cell. The value obtained for the formation energy is 0.674 eV per atom.

- Look up the energy above the most stable polymorph in this dataset of the third one.
  220 meV per atom

- energy above the most stable polymorph in this dataset of number 3 (Ta2Ag2Ge)?
  220 meV per atom